(1)
Material: ThPaRh4
Method: DFT, GGA-PBE
State: relaxed

It has space group F-43m (No. 216), with a = 7.587 Å, b = 7.587 Å, c = 7.587 Å, α = 90.00°, β = 90.00° and γ = 90.00°. Symmetry generates all atoms from Th at (0.000, 0.000, 0.000), Pa at (0.250, 0.250, 0.750) and Rh at (0.125, 0.125, 0.375).

The formation enthalpy at 0 K comes out at -716 meV/atom. The polymorph energy (0 for the lowest one) is 0 meV/atom. The total energy is -0.6201 Ry/atom.

(2)
Material: ThPaRh6
Method: DFT, GGA-PBE
State: relaxed

It has space group P4/mmm (No. 123), with a = 4.095 Å, b = 4.095 Å, c = 8.200 Å, α = 90.00°, β = 90.00° and γ = 90.00°. Symmetry generates all atoms from Th at (0.000, 0.000, 0.000), Pa at (0.000, 0.000, 0.500), Rh at (0.000, 0.500, 0.260), Rh at (0.500, 0.500, 0.000) and Rh at (0.500, 0.500, 0.500).

The formation enthalpy at 0 K comes out at -808 meV/atom. The total energy is -0.6200 Ry/atom.

(3)
Material: ThPaRh4
Method: DFT, GGA-PBE
State: relaxed

It has space group Pnma (No. 62), with a = 7.022 Å, b = 3.895 Å, c = 16.998 Å, α = 90.00°, β = 90.00° and γ = 90.00°. Symmetry generates all atoms from Th at (0.176, 0.250, 0.213), Pa at (0.201, 0.750, 0.470), Rh at (0.042, 0.750, 0.937), Rh at (0.048, 0.250, 0.375), Rh at (0.148, 0.250, 0.820) and Rh at (0.241, 0.250, 0.586).

The formation enthalpy at 0 K comes out at -702 meV/atom. The polymorph energy (0 for the lowest one) is 14 meV/atom. The total energy is -0.6190 Ry/atom.

(4)
Material: Th4PaRh5
Method: DFT, GGA-PBE
State: relaxed

It has space group I4 (No. 79), with a = 9.518 Å, b = 9.518 Å, c = 5.214 Å, α = 90.00°, β = 90.00° and γ = 90.00°. Symmetry generates all atoms from Th at (0.000, 0.298, 0.000), Pa at (0.000, 0.000, 0.565), Rh at (0.000, 0.000, 0.067) and Rh at (0.195, 0.804, 0.462).

The formation enthalpy at 0 K comes out at -678 meV/atom. The total energy is -0.6079 Ry/atom.

(5)
Material: Th3PaRh4
Method: DFT, GGA-PBE
State: relaxed

It has space group I4/mmm (No. 139), with a = 5.778 Å, b = 5.778 Å, c = 11.490 Å, α = 90.00°, β = 90.00° and γ = 90.00°. Symmetry generates all atoms from Th at (0.000, 0.000, 0.000), Th at (0.000, 0.500, 0.250), Pa at (0.000, 0.000, 0.500), Rh at (0.000, 0.000, 0.263) and Rh at (0.000, 0.500, 0.000).

The formation enthalpy at 0 K comes out at -847 meV/atom. The total energy is -0.6242 Ry/atom.

(6)
Material: ThPaRh2
Method: DFT, GGA-PBE
State: relaxed

It has space group P4/mmm (No. 123), with a = 3.471 Å, b = 3.471 Å, c = 7.226 Å, α = 90.00°, β = 90.00° and γ = 90.00°. Symmetry generates all atoms from Th at (0.000, 0.000, 0.000), Pa at (0.000, 0.000, 0.500) and Rh at (0.500, 0.500, 0.291).

The formation enthalpy at 0 K comes out at -682 meV/atom. The polymorph energy (0 for the lowest one) is 162 meV/atom. The total energy is -0.6311 Ry/atom.

(7)
Material: Th2Pa2Rh5
Method: DFT, GGA-PBE
State: relaxed

It has space group Cmce (No. 64), with a = 14.119 Å, b = 7.536 Å, c = 7.525 Å, α = 90.00°, β = 90.00° and γ = 90.00°. Symmetry generates all atoms from Th at (0.202, 0.000, 0.000), Pa at (0.000, 0.164, 0.340), Rh at (0.000, 0.000, 0.000) and Rh at (0.126, 0.140, 0.646).

The formation enthalpy at 0 K comes out at -729 meV/atom. The total energy is -0.6301 Ry/atom.

(8)
Material: PaTi2Rh9
Method: DFT, GGA-PBE
State: relaxed

It has space group P4/mmm (No. 123), with a = 3.934 Å, b = 3.934 Å, c = 11.718 Å, α = 90.00°, β = 90.00° and γ = 90.00°. Symmetry generates all atoms from Pa at (0.000, 0.000, 0.000), Ti at (0.000, 0.000, 0.339), Rh at (0.000, 0.500, 0.178), Rh at (0.000, 0.500, 0.500), Rh at (0.500, 0.500, 0.000) and Rh at (0.500, 0.500, 0.339).

The formation enthalpy at 0 K comes out at -693 meV/atom. The total energy is -0.6111 Ry/atom.

(9)
Material: PaTiRh4
Method: DFT, GGA-PBE
State: relaxed

It has space group Pnma (No. 62), with a = 6.749 Å, b = 4.022 Å, c = 14.835 Å, α = 90.00°, β = 90.00° and γ = 90.00°. Symmetry generates all atoms from Pa at (0.151, 0.250, 0.210), Ti at (0.188, 0.750, 0.476), Rh at (0.035, 0.750, 0.937), Rh at (0.069, 0.250, 0.381), Rh at (0.157, 0.250, 0.806) and Rh at (0.216, 0.250, 0.591).

The formation enthalpy at 0 K comes out at -648 meV/atom. The total energy is -0.6208 Ry/atom.

(10)
Material: Pa2TiRh5
Method: DFT, GGA-PBE
State: relaxed

It has space group Pbam (No. 55), with a = 5.792 Å, b = 11.422 Å, c = 4.210 Å, α = 90.00°, β = 90.00° and γ = 90.00°. Symmetry generates all atoms from Pa at (0.170, 0.143, 0.000), Ti at (0.000, 0.500, 0.500), Rh at (0.000, 0.000, 0.500), Rh at (0.081, 0.746, 0.500) and Rh at (0.177, 0.397, 0.000).

The formation enthalpy at 0 K comes out at -827 meV/atom. The total energy is -0.6455 Ry/atom.

(11)
Material: Pa2TiRh9
Method: DFT, GGA-PBE
State: relaxed

It has space group P4/mmm (No. 123), with a = 4.005 Å, b = 4.005 Å, c = 11.903 Å, α = 90.00°, β = 90.00° and γ = 90.00°. Symmetry generates all atoms from Pa at (0.000, 0.000, 0.173), Ti at (0.000, 0.000, 0.500), Rh at (0.000, 0.500, 0.000), Rh at (0.000, 0.500, 0.345), Rh at (0.500, 0.500, 0.173) and Rh at (0.500, 0.500, 0.500).

The formation enthalpy at 0 K comes out at -787 meV/atom. The total energy is -0.6278 Ry/atom.

(12)
Material: PaTiRh
Method: DFT, GGA-PBE
State: relaxed

It has space group P3m1 (No. 156), with a = 4.3943 Å, b = 4.3943 Å, c = 3.5842 Å, α = 90.00°, β = 90.00° and γ = 120.00°. Symmetry generates all atoms from Pa at (0.0000, 0.0000, 0.0000), Ti at (0.6667, 0.3333, 0.5300) and Rh at (0.3333, 0.6667, 0.4174).

The formation enthalpy at 0 K comes out at -195 meV/atom. The polymorph energy (0 for the lowest one) is 300 meV/atom. The total energy is -0.6205 Ry/atom.

(13)
Material: PaTiRh
Method: DFT, GGA-PBE
State: relaxed

It has space group P-3m1 (No. 164), with a = 3.5016 Å, b = 3.5016 Å, c = 11.6585 Å, α = 90.00°, β = 90.00° and γ = 120.00°. Symmetry generates all atoms from Pa at (0.0000, 0.0000, 0.1216), Ti at (0.3333, 0.6667, 0.5862) and Rh at (0.3333, 0.6667, 0.2791).

The formation enthalpy at 0 K comes out at -134 meV/atom. The polymorph energy (0 for the lowest one) is 362 meV/atom. The total energy is -0.6160 Ry/atom.

(14)
Material: PaTiRh
Method: DFT, GGA-PBE
State: relaxed

It has space group Imma (No. 74), with a = 5.593 Å, b = 5.641 Å, c = 7.119 Å, α = 90.00°, β = 90.00° and γ = 90.00°. Symmetry generates all atoms from Pa at (0.000, 0.250, 0.114), Ti at (0.000, 0.000, 0.500) and Rh at (0.250, 0.250, 0.750).

The formation enthalpy at 0 K comes out at -495 meV/atom. The polymorph energy (0 for the lowest one) is 0 meV/atom. The total energy is -0.6426 Ry/atom.

(15)
Material: PaTlRh2
Method: DFT, GGA-PBE
State: relaxed

It has space group P4/mmm (No. 123), with a = 3.528 Å, b = 3.528 Å, c = 6.544 Å, α = 90.00°, β = 90.00° and γ = 90.00°. Symmetry generates all atoms from Pa at (0.000, 0.000, 0.000), Tl at (0.000, 0.000, 0.500) and Rh at (0.500, 0.500, 0.221).

The formation enthalpy at 0 K comes out at -397 meV/atom. The polymorph energy (0 for the lowest one) is 51 meV/atom. The total energy is -0.5173 Ry/atom.

(16)
Material: PaTlRh2
Method: DFT, GGA-PBE
State: relaxed

It has space group R-3m (No. 166, hexagonal axes), with a = 4.8641 Å, b = 4.8641 Å, c = 11.7109 Å, α = 90.00°, β = 90.00° and γ = 120.00°. Symmetry generates all atoms from Pa at (0.0000, 0.0000, 0.0000), Tl at (0.0000, 0.0000, 0.5000) and Rh at (0.0000, 0.0000, 0.2222).

The formation enthalpy at 0 K comes out at -448 meV/atom. The polymorph energy (0 for the lowest one) is 0 meV/atom. The total energy is -0.5211 Ry/atom.

(17)
Material: PaTlRh
Method: DFT, GGA-PBE
State: relaxed

It has space group P4_2/m (No. 84), with a = 9.533 Å, b = 9.533 Å, c = 3.588 Å, α = 90.00°, β = 90.00° and γ = 90.00°. Symmetry generates all atoms from Pa at (0.041, 0.787, 0.000), Tl at (0.176, 0.476, 0.500) and Rh at (0.239, 0.247, 0.000).

The formation enthalpy at 0 K comes out at -115 meV/atom. The total energy is -0.4792 Ry/atom.

(18)
Material: Pa2TlRh
Method: DFT, GGA-PBE
State: relaxed

It has space group R-3m (No. 166, hexagonal axes), with a = 3.5631 Å, b = 3.5631 Å, c = 27.4091 Å, α = 90.00°, β = 90.00° and γ = 120.00°. Symmetry generates all atoms from Pa at (0.0000, 0.0000, 0.2353), Tl at (0.0000, 0.0000, 0.0000) and Rh at (0.0000, 0.0000, 0.5000).

The formation enthalpy at 0 K comes out at -128 meV/atom. The polymorph energy (0 for the lowest one) is 124 meV/atom. The total energy is -0.5370 Ry/atom.

(19)
Material: Pa2TlRh
Method: DFT, GGA-PBE
State: relaxed

It has space group P4/mmm (No. 123), with a = 3.242 Å, b = 3.242 Å, c = 8.755 Å, α = 90.00°, β = 90.00° and γ = 90.00°. Symmetry generates all atoms from Pa at (0.000, 0.000, 0.213), Tl at (0.500, 0.500, 0.500) and Rh at (0.500, 0.500, 0.000).

The formation enthalpy at 0 K comes out at -252 meV/atom. The polymorph energy (0 for the lowest one) is 0 meV/atom. The total energy is -0.5461 Ry/atom.

(20)
Material: TmPa3Rh12
Method: DFT, GGA-PBE
State: relaxed

It has space group P4/mmm (No. 123), with a = 4.047 Å, b = 4.047 Å, c = 16.194 Å, α = 90.00°, β = 90.00° and γ = 90.00°. Symmetry generates all atoms from Tm at (0.000, 0.000, 0.000), Pa at (0.000, 0.000, 0.247), Pa at (0.000, 0.000, 0.500), Rh at (0.000, 0.500, 0.126), Rh at (0.000, 0.500, 0.375), Rh at (0.500, 0.500, 0.000), Rh at (0.500, 0.500, 0.250) and Rh at (0.500, 0.500, 0.500).

The formation enthalpy at 0 K comes out at -822 meV/atom. The total energy is -0.6171 Ry/atom.

(21)
Material: TmPa2Rh
Method: DFT, GGA-PBE
State: relaxed

It has space group R-3m (No. 166, hexagonal axes), with a = 3.5529 Å, b = 3.5529 Å, c = 27.7630 Å, α = 90.00°, β = 90.00° and γ = 120.00°. Symmetry generates all atoms from Tm at (0.0000, 0.0000, 0.0000), Pa at (0.0000, 0.0000, 0.2348) and Rh at (0.0000, 0.0000, 0.5000).

The formation enthalpy at 0 K comes out at -119 meV/atom. The total energy is -0.5750 Ry/atom.

(22)
Material: TmPaRh2
Method: DFT, GGA-PBE
State: relaxed

It has space group Fm-3m (No. 225), with a = 6.856 Å, b = 6.856 Å, c = 6.856 Å, α = 90.00°, β = 90.00° and γ = 90.00°. Symmetry generates all atoms from Tm at (0.000, 0.000, 0.000), Pa at (0.000, 0.000, 0.500) and Rh at (0.250, 0.250, 0.250).

The formation enthalpy at 0 K comes out at -725 meV/atom. The polymorph energy (0 for the lowest one) is 169 meV/atom. The total energy is -0.5801 Ry/atom.

(23)
Material: TmPaRh2
Method: DFT, GGA-PBE
State: relaxed

It has space group P4/mmm (No. 123), with a = 3.437 Å, b = 3.437 Å, c = 6.887 Å, α = 90.00°, β = 90.00° and γ = 90.00°. Symmetry generates all atoms from Tm at (0.000, 0.000, 0.000), Pa at (0.000, 0.000, 0.500) and Rh at (0.500, 0.500, 0.268).

The formation enthalpy at 0 K comes out at -781 meV/atom. The polymorph energy (0 for the lowest one) is 112 meV/atom. The total energy is -0.5842 Ry/atom.

Calculated values (μB/cell) of spin magnetization for the records, taken in order: 0.0 0.0 0.0 0.0 0.0 0.0 0.0 0.0 0.0 0.0 0.0 0.0 0.0 0.0 0.0 0.0 0.0 0.0 0.5 0.0 0.0 0.1 0.0.